A plane-wave DFT calculation with PBE-GGA was carried out for a relaxed structure of LiTl2Au.

Lattice parameters (Å, degrees): 8.317 8.317 8.317 26.01 26.01 26.01
Sites, in units of the cell vectors:
Li 0.000 0.000 0.000
Tl 0.249 0.249 0.249
Tl 0.751 0.751 0.751
Au 0.500 0.500 0.500

Values from the calculation:
D(E_F)	1.227	states/eV per cell
energy of formation	-0.07	eV/atom
E	-10.19	eV per formula unit